RbErS2 | PBE | optimized geometry Values from VASP.

Structure (Quantum ESPRESSO input):
```
&SYSTEM
  ibrav = 0, nat = 4, ntyp = 3
/
ATOMIC_SPECIES
S 32.06 S.upf
Rb 85.47 Rb.upf
Er 167.26 Er.upf
CELL_PARAMETERS angstrom
4.029 0.000 0.000
2.014 3.489 0.000
2.014 1.163 7.780
ATOMIC_POSITIONS angstrom
S 2.014 1.163 1.461
S 2.014 1.163 6.290
Rb 4.029 2.326 3.932
Er 6.043 3.489 7.767
```

Computed properties:
The calculation puts the uncorrected formation energy at -1.8346 eV per atom.